A geometry-optimized Tl8Br4Cl3 structure, computed with PBE.

Lattice parameters (Å, degrees): 9.284 9.262 9.262 90.02 120.02 120.02
Positions (direct):
Cl  0.500  0.000  0.500
Cl  0.500  0.500  0.000
Cl  0.500  0.500  0.500
Tl  0.009  0.265  0.265
Tl  0.487  0.739  0.739
Tl  0.500  0.746  0.254
Tl  0.000  0.258  0.742
Tl  0.000  0.742  0.258
Tl  0.991  0.735  0.735
Tl  0.513  0.261  0.261
Tl  0.500  0.254  0.746
Br  0.000  0.000  0.000
Br  0.000  0.000  0.500
Br  0.000  0.500  0.000
Br  0.500  0.000  0.000

Total energy = -2.873 eV/atom
V = 37.511 A^3/atom
Uncorrected formation energy = -0.7960 eV per atom

A geometry-optimized TmTl2Br3Cl3 structure, computed with PBE.

Lattice parameters (Å, degrees): 3.817 8.704 8.704 120.00 90.00 90.00
Positions (direct):
Cl  0.500  0.217  0.217
Cl  0.500  0.000  0.783
Cl  0.500  0.783  0.000
Tl  0.500  0.667  0.333
Tl  0.500  0.333  0.667
Tm  0.000  0.000  0.000
Br  0.000  0.582  0.582
Br  0.000  0.418  0.000
Br  0.000  0.000  0.418

Total energy = -3.480 eV/atom
V = 27.830 A^3/atom
Uncorrected formation energy = -1.2839 eV per atom

A geometry-optimized UTl3Br6Cl2 structure, computed with PBE.

Lattice parameters (Å, degrees): 6.752 9.179 9.626 118.47 98.71 90.00
Site moments in Bohr magnetons follow the coordinates.
Positions (direct):
Br  0.732  0.873  0.165  -0.04
Br  0.263  0.114  0.228  -0.04
Br  0.268  0.709  0.835  -0.04
Br  0.732  0.291  0.165  -0.04
Br  0.268  0.127  0.835  -0.04
Br  0.737  0.886  0.772  -0.04
Tl  0.500  0.000  0.500  0.00
Tl  0.000  0.500  0.000  0.00
Tl  0.500  0.500  0.500  0.00
Cl  0.255  0.664  0.329  -0.01
Cl  0.745  0.336  0.671  -0.01
U  0.500  0.000  0.000  1.25

Total energy = -3.753 eV/atom
V = 43.050 A^3/atom
Uncorrected formation energy = -1.0766 eV per atom

- Among the records above, which one has the highest total energy?
  Tl8Br4Cl3